{
  "formula": "ScCoCl",
  "functional": "PBE",
  "state": "relaxed",
  "formation_energy_uncorrected_ev_per_atom": 0.01,
  "dos_at_fermi_per_ev_fu": 2.5,
  "space_group": "F-43m",
  "lattice": [[5.946, 0.000, 0.000], [0.000, 5.946, 0.000], [0.000, 0.000, 5.946]],
  "species": ["Sc", "Sc", "Sc", "Sc", "Co", "Co", "Co", "Co", "Cl", "Cl", "Cl", "Cl"],
  "fractional_positions": [[0.000, 0.000, 0.000], [0.000, 0.500, 0.500], [0.500, 0.000, 0.500], [0.500, 0.500, 0.000], [0.250, 0.250, 0.750], [0.250, 0.750, 0.250], [0.750, 0.250, 0.250], [0.750, 0.750, 0.750], [0.000, 0.000, 0.500], [0.000, 0.500, 0.000], [0.500, 0.000, 0.000], [0.500, 0.500, 0.500]]
}

{
  "formula": "ScCoCl2",
  "functional": "PBE",
  "state": "relaxed",
  "formation_energy_uncorrected_ev_per_atom": -0.91,
  "de_polymorph_ev_per_fu": 0.000,
  "dos_at_fermi_per_ev_fu": 2.0,
  "space_group": "C2/m",
  "lattice": [[13.739, 0.000, 0.000], [0.000, 3.399, 0.000], [-0.187, 0.000, 4.002]],
  "species": ["Sc", "Sc", "Co", "Co", "Cl", "Cl", "Cl", "Cl"],
  "fractional_positions": [[0.000, 0.000, 0.000], [0.500, 0.500, 0.000], [0.000, 0.500, 0.500], [0.500, 0.000, 0.500], [0.132, 0.500, 0.223], [0.368, 0.000, 0.777], [0.632, 0.000, 0.223], [0.868, 0.500, 0.777]]
}

{
  "formula": "ScCoCl2",
  "functional": "PBE",
  "state": "relaxed",
  "formation_energy_uncorrected_ev_per_atom": -0.55,
  "de_polymorph_ev_per_fu": 1.426,
  "dos_at_fermi_per_ev_fu": 0.0,
  "space_group": "I-42d",
  "lattice": [[4.442, 0.000, 0.000], [0.000, 4.442, 0.000], [0.000, 0.000, 14.618]],
  "species": ["Sc", "Sc", "Sc", "Sc", "Co", "Co", "Co", "Co", "Cl", "Cl", "Cl", "Cl", "Cl", "Cl", "Cl", "Cl"],
  "fractional_positions": [[0.000, 0.000, 0.000], [0.000, 0.500, 0.250], [0.500, 0.000, 0.750], [0.500, 0.500, 0.500], [0.000, 0.000, 0.500], [0.000, 0.500, 0.750], [0.500, 0.000, 0.250], [0.500, 0.500, 0.000], [0.222, 0.250, 0.625], [0.250, 0.722, 0.875], [0.250, 0.778, 0.375], [0.278, 0.250, 0.125], [0.722, 0.750, 0.125], [0.750, 0.222, 0.375], [0.750, 0.278, 0.875], [0.778, 0.750, 0.625]]
}

Question: What is the formula in the first record?
Answer: ScCoCl